No. 1
Entry from Alexandria via LeMat-Bulk: a relaxed structure of LiCeCo4 (PBE).

Lattice parameters (Å, degrees): 4.8879 4.8879 4.8879 60.00 60.00 60.00
Sites, in units of the cell vectors:
Co 0.6255 0.6255 0.1236
Co 0.6255 0.1236 0.6255
Co 0.6255 0.6255 0.6255
Co 0.1236 0.6255 0.6255
Ce 0.2500 0.2500 0.2500
Li 0.0000 0.0000 0.0000


No. 2
Entry from Alexandria via LeMat-Bulk: a relaxed structure of LiCeLuCo (PBE).

Lattice parameters (Å, degrees): 4.8298 4.8298 4.8298 60.00 60.00 60.00
Sites, in units of the cell vectors:
Lu 0.2500 0.2500 0.2500
Co 0.0000 0.0000 0.0000
Ce 0.7500 0.7500 0.7500
Li 0.5000 0.5000 0.5000


No. 3
Entry from Alexandria via LeMat-Bulk: a relaxed structure of LiCeMgCo (PBE).

Lattice parameters (Å, degrees): 4.6873 4.6873 4.6873 60.00 60.00 60.00
Sites, in units of the cell vectors:
Mg 0.5000 0.5000 0.5000
Co 0.2500 0.2500 0.2500
Ce 0.0000 0.0000 0.0000
Li 0.7500 0.7500 0.7500


No. 4
Entry from Alexandria via LeMat-Bulk: a relaxed structure of LiCeNdCo (PBE).

Lattice parameters (Å, degrees): 4.9685 4.9685 4.9685 60.00 60.00 60.00
Sites, in units of the cell vectors:
Co 0.5000 0.5000 0.5000
Nd 0.2500 0.2500 0.2500
Ce 0.7500 0.7500 0.7500
Li 0.0000 0.0000 0.0000


No. 5
Entry from Alexandria via LeMat-Bulk: a relaxed structure of Li3Ce2CoNi12 (PBE).

Lattice parameters (Å, degrees): 8.9285 8.9285 8.9285 39.03 39.03 39.03
Sites, in units of the cell vectors:
Li 0.5000 0.0000 0.0000
Li 0.0000 0.5000 0.0000
Li 0.0000 0.0000 0.5000
Ce 0.6455 0.6455 0.6455
Ce 0.3545 0.3545 0.3545
Co 0.0000 0.0000 0.0000
Ni 0.4181 0.4181 0.8087
Ni 0.8997 0.8997 0.3890
Ni 0.3890 0.8997 0.8997
Ni 0.8087 0.4181 0.4181
Ni 0.8997 0.3890 0.8997
Ni 0.4181 0.8087 0.4181
Ni 0.5819 0.5819 0.1913
Ni 0.1003 0.1003 0.6110
Ni 0.6110 0.1003 0.1003
Ni 0.1913 0.5819 0.5819
Ni 0.1003 0.6110 0.1003
Ni 0.5819 0.1913 0.5819


Calculated energy of formation (eV per atom), listed in the same order as above: -0.07 -0.02 0.05 0.10 0.16
Calculated mass density (Mg/m³), listed in the same order as above: 7.7 7.9 5.3 6.7 7.0
Calculated DOS(E_F) (states/eV per cell), listed in the same order as above: 9.73 5.37 5.42 6.78 18.20